Entry 1:
# Pa2GaB

A relaxed structure of Pa2GaB (PBE, the Alexandria database).

VASP energy = -7.272 eV/atom

Cell lengths 3.5188, 3.5188, 23.4220 Å; angles 90.00, 90.00, 120.00 degrees
Space group R-3m (No. 166, hexagonal axes)
Inequivalent atoms, fractional coordinates:
1 Pa 0.0000 0.0000 0.2308 x6
2 Ga 0.0000 0.0000 0.0000 x3
3 B 0.0000 0.0000 0.5000 x3

Entry 2:
# Pa2GaBRu6

A relaxed structure of Pa2GaBRu6 (PBE, the Alexandria database).

VASP energy = -8.560 eV/atom

Cell lengths 4.390, 4.390, 8.619 Å; angles 90.00, 90.00, 90.00 degrees
Space group P4/mmm (No. 123)
Inequivalent atoms, fractional coordinates:
1 Pa 0.000 0.000 0.249 x2
2 Ga 0.500 0.500 0.500 x1
3 B 0.500 0.500 0.000 x1
4 Ru 0.000 0.500 0.000 x2
5 Ru 0.000 0.500 0.500 x2
6 Ru 0.500 0.500 0.229 x2

no.,DFT formation energy (eV per atom)
1,-0.10
2,-0.13